Computed, not measured: crystalline TbPr2Hg2 at its relaxed geometry at the PBE level of DFT.

The density of states at the Fermi level comes out at 11.24 states/eV per cell. Its total magnetization is 0.8 μB/cell. The energy above the most stable polymorph in this dataset comes out at 0 meV per atom. As for the calculated formation energy: -0.37 eV/atom. Its total energy is -16.62 eV/f.u.

The space group is P2_1/m (No. 11) and the conventional cell measures 3.808, 5.413 and 14.323 Å, with angles of 90.00, 97.62 and 90.00 degrees. The asymmetric unit holds Tb at (0.147, 0.250, 0.292), Pr at (0.046, 0.750, 0.089), Pr at (0.232, 0.750, 0.468), Hg at (0.360, 0.250, 0.719) and Hg at (0.443, 0.750, 0.889).